No. 1
A geometry-optimized ZrCrP2 structure. Source: Alexandria, functional PBE.

Properties
energy of formation = -0.770 eV/atom
DFT total energy = -32.072 eV per cell
D(E_F) = 2.1 states/eV/cell
total moment = 2.15 μB/f.u.

```
ZrCrP2
1.0
1.838 1.061 5.503
-1.838 1.061 5.503
0.000 -2.122 5.503
Zr Cr P
1 1 2
Cartesian
0.000 0.000 0.000
0.000 0.000 8.255
0.000 0.000 3.931
0.000 0.000 12.579
```


No. 2
A geometry-optimized ZrCr2P structure. Source: Alexandria, functional PBE.

Properties
energy of formation = -0.090 eV/atom
DFT total energy = -33.566 eV per cell
D(E_F) = 4.1 states/eV/cell
total moment = 0.00 μB/f.u.

```
ZrCr2P
1.0
3.288 0.000 0.000
0.000 4.272 0.000
-0.213 0.000 4.284
Zr Cr P
1 2 1
Cartesian
0.000 0.000 0.000
1.037 2.136 3.169
2.039 2.136 1.115
1.538 0.000 2.142
```


No. 3
A geometry-optimized ZrCrP2 structure. Source: Alexandria, functional PBE.

Properties
energy of formation = -0.424 eV/atom
DFT total energy = -30.686 eV per cell
D(E_F) = 1.1 states/eV/cell
total moment = 0.00 μB/f.u.

```
ZrCrP2
1.0
0.000 3.085 3.085
3.085 0.000 3.085
3.085 3.085 0.000
Zr Cr P
1 1 2
Cartesian
0.000 0.000 0.000
3.085 3.085 3.085
1.542 1.542 1.542
4.627 4.627 4.627
```


No. 4
A geometry-optimized ZrCrP2 structure. Source: Alexandria, functional PBE.

Properties
energy of formation = -0.687 eV/atom
DFT total energy = -31.739 eV per cell
D(E_F) = 2.1 states/eV/cell
total moment = 3.22 μB/f.u.

```
ZrCrP2
1.0
3.651 0.000 0.000
0.000 3.651 0.000
0.000 0.000 5.195
Zr Cr P
1 1 2
Cartesian
0.000 0.000 0.000
1.825 1.825 2.336
0.000 0.000 2.557
1.825 1.825 4.995
```


- Among the records above, which one has the lowest energy of formation?
  number 1


- What is the total moment in the first record?
  2.15 μB/f.u.